A plane-wave DFT calculation with PBE-GGA was carried out for crystalline Zr2ZnC at its relaxed geometry.

Results
final energy: -7.40 eV per atom

Structure (POSCAR):
```
Zr2ZnC
1.0
-1.585 -4.441 3.265
-1.942 -4.814 -2.438
14.768 -2.059 -0.789
C Zr Zn
6 12 6
Direct
0.500 0.000 0.500 C
0.663 0.174 0.000 C
0.000 0.500 0.000 C
0.826 0.337 0.500 C
0.174 0.663 0.500 C
0.337 0.826 0.000 C
0.973 0.803 0.915 Zr
0.531 0.369 0.594 Zr
0.197 0.027 0.585 Zr
0.469 0.631 0.406 Zr
0.139 0.305 0.415 Zr
0.027 0.197 0.085 Zr
0.631 0.469 0.906 Zr
0.369 0.531 0.094 Zr
0.803 0.973 0.415 Zr
0.861 0.695 0.585 Zr
0.305 0.139 0.915 Zr
0.695 0.861 0.085 Zr
0.415 0.134 0.251 Zn
0.946 0.054 0.250 Zn
0.054 0.946 0.750 Zn
0.134 0.415 0.751 Zn
0.585 0.866 0.749 Zn
0.866 0.585 0.249 Zn
```